Record 1
DFT (GGA-PBE) results for a relaxed structure of SrY4Zr.

a b c (Å): 6.6315 6.6315 6.6315
angles (deg): 60.00 60.00 60.00
Fractional positions:
Sr  0.0000  0.0000  0.0000
Y  0.8679  0.3774  0.3774
Y  0.3774  0.3774  0.8679
Y  0.3774  0.8679  0.3774
Y  0.3774  0.3774  0.3774
Zr  0.7500  0.7500  0.7500

Properties
The calculation puts the size of the total moment at 2.1 μB/cell. As for the raw total energy: -5.554 eV per atom. As for the space group: F-43m, No. 216. The calculation puts the density of states at the Fermi level at 1.777 states/eV/atom.



Record 2
DFT (GGA-PBE) results for a relaxed structure of Pm2ScC2Br2.

a b c (Å): 4.3057 4.3057 8.6161
angles (deg): 104.47 104.47 90.00
Fractional positions:
Pm  0.4018  0.4018  0.8035
Pm  0.5982  0.5982  0.1965
Sc  0.0000  0.0000  0.0000
C  0.0000  0.5000  0.0000
C  0.5000  0.0000  0.0000
Br  0.1836  0.1836  0.3672
Br  0.8164  0.8164  0.6328

Properties
The calculation puts the size of the total moment at 0.0 μB/cell. As for the space group: I4/mmm, No. 139. The uncorrected formation energy is -0.78 eV/atom. The calculation puts the density of states at the Fermi level at 0.433 states/eV/atom.



Record 3
DFT (GGA-PBE) results for a relaxed structure of ZrW3.

a b c (Å): 3.0415 9.1049 3.0415
angles (deg): 90.00 120.00 99.62
Fractional positions:
W  0.9873  0.9809  0.9936
W  0.5000  0.7500  0.2500
W  0.0127  0.5191  0.5064
Zr  0.5000  0.2500  0.7500

Properties
The calculation puts the size of the total moment at 0.0 μB/cell. As for the raw total energy: -11.428 eV per atom. As for the space group: R-3m, No. 166. The calculation puts the density of states at the Fermi level at 1.137 states/eV/atom.



Record 4
DFT (GGA-PBE) results for a relaxed structure of Ho4CdHg2Pd.

a b c (Å): 5.1789 5.1789 8.9178
angles (deg): 73.12 73.12 60.00
Fractional positions:
Ho  0.3825  0.3825  0.8525
Ho  0.8697  0.8697  0.3910
Ho  0.1303  0.1303  0.6090
Ho  0.6175  0.6175  0.1475
Cd  0.0000  0.0000  0.0000
Hg  0.7426  0.7426  0.7722
Hg  0.2574  0.2574  0.2278
Pd  0.5000  0.5000  0.5000

Properties
The calculation puts the size of the total moment at 0.0 μB/cell. As for the raw total energy: -3.674 eV per atom. As for the space group: R-3m, No. 166. The calculation puts the density of states at the Fermi level at 0.807 states/eV/atom.